# LiCd3 | the Alexandria database | GGA-PBE | relaxed
# M_tot: 0.000 μB/cell
# Final energy: -1.285 eV per atom
data_LiCd3
_symmetry_space_group_name_H-M 'C m m m'
_symmetry_Int_Tables_number 65
_symmetry_space_group_name_Hall '-C 2 2'
_cell_length_a 6.1014
_cell_length_b 8.6577
_cell_length_c 3.1812
_cell_angle_alpha 90.00
_cell_angle_beta 90.00
_cell_angle_gamma 90.00
loop_
_atom_site_label
_atom_site_type_symbol
_atom_site_fract_x
_atom_site_fract_y
_atom_site_fract_z
Li1 Li 0.0000 0.0000 0.0000
Cd1 Cd 0.0000 0.5000 0.0000
Cd2 Cd 0.2500 0.2500 0.5000